VASP calculation (PBE-GGA) on an optimized crystal structure of CeSmY6.

Output
**Total moment**: 1.7 Bohr magnetons per cell
**Density of states at the Fermi level**: 16.85 states/eV per cell
**Final energy**: -5.963 eV/atom
**Crystal system**: triclinic

Cell lengths 6.5754, 6.6353, 7.5174 Å; angles 115.22, 115.72, 90.04 degrees
Last column: nearest neighbours and their distance in Å.
Space group P-1 (No. 2)
Unique sites:
Ce: 0.0000 0.0000 0.0000 (multiplicity 1)  2 Sm 3.29, 4 Y 3.35-3.44
Sm: 0.5000 0.0000 0.0000 (multiplicity 1)  2 Ce 3.29, 4 Y 3.40-3.58
Y: 0.2324 0.9191 0.4649 (multiplicity 2)  6 Y 3.33-3.47, 1 Sm 3.40, 1 Ce 3.44
Y: 0.2493 0.4994 0.0002 (multiplicity 2)  6 Y 3.28-3.52
Y: 0.2591 0.4445 0.5184 (multiplicity 2)  6 Y 3.33-3.52, 1 Ce 3.35, 1 Sm 3.58